Entry 1:
Material: CsRbHgSb2
Method: DFT, PBE
State: optimized geometry

Lattice parameters (Å, degrees): 4.5218 5.8845 18.1787 90.00 90.00 90.00
Closest atoms and distances in Å follow each position.
Positions (direct):
Cs: 0.0000 0.0000 0.0000  6 Sb 3.93-4.29, 4 Hg 4.20
Cs: 0.5000 0.5000 0.5000  6 Sb 3.93-4.29, 4 Hg 4.20
Rb: 0.0000 0.5000 0.7180  6 Sb 3.80-3.97, 2 Hg 3.88
Rb: 0.5000 0.0000 0.2180  6 Sb 3.80-3.97, 2 Hg 3.88
Hg: 0.0000 0.0000 0.3916  1 Sb 3.27
Hg: 0.5000 0.5000 0.8916  1 Sb 3.27
Sb: 0.0000 0.0000 0.5716  2 Sb 2.91
Sb: 0.0000 0.5000 0.1721  2 Sb 2.91
Sb: 0.5000 0.0000 0.6721  2 Sb 2.91
Sb: 0.5000 0.5000 0.0716  2 Sb 2.91

- energy (Ry/atom) = -0.176
- volume (Å³/cell) = 484
- energy relative to the elements, uncorrected (eV/atom) = -0.314



Entry 2:
Material: CsRb2HgSb
Method: DFT, PBE
State: optimized geometry

Lattice parameters (Å, degrees): 7.1512 7.1512 7.5160 90.00 90.00 90.00
Closest atoms and distances in Å follow each position.
Positions (direct):
Cs: 0.0000 0.0000 0.0000  2 Sb 3.76
Rb: 0.0000 0.5000 0.5000  2 Sb 3.58
Rb: 0.5000 0.0000 0.5000  2 Sb 3.58
Hg: 0.5000 0.5000 0.0000  4 Cs 5.06, 8 Rb 5.19
Sb: 0.0000 0.0000 0.5000  4 Rb 3.58, 2 Cs 3.76

- energy (Ry/atom) = -0.120
- volume (Å³/cell) = 384
- energy relative to the elements, uncorrected (eV/atom) = -0.184



Entry 3:
Material: CsRbHg2Sb2
Method: DFT, PBE
State: optimized geometry

Lattice parameters (Å, degrees): 4.9341 4.9341 11.5209 90.00 90.00 120.00
Closest atoms and distances in Å follow each position.
Positions (direct):
Cs: 0.0000 0.0000 0.0000  6 Sb 4.10, 6 Hg 4.16
Rb: 0.0000 0.0000 0.5000  6 Hg 3.94, 6 Sb 4.00
Hg: 0.3333 0.6667 0.2635  3 Sb 2.85
Hg: 0.6667 0.3333 0.7365  3 Sb 2.85
Sb: 0.3333 0.6667 0.7435  3 Hg 2.85
Sb: 0.6667 0.3333 0.2565  3 Hg 2.85

- energy (Ry/atom) = -0.159
- volume (Å³/cell) = 243
- energy relative to the elements, uncorrected (eV/atom) = -0.381



Entry 4:
Material: CsRbHgSe2
Method: DFT, PBE
State: optimized geometry

Lattice parameters (Å, degrees): 9.7570 9.7570 5.9133 90.00 90.00 119.99
Closest atoms and distances in Å follow each position.
Positions (direct):
Cs: 0.2500 0.7500 0.7536  4 Se 3.63-3.75
Cs: 0.7500 0.2500 0.2464  4 Se 3.63-3.75
Rb: 0.2500 0.2500 0.5000  4 Se 3.51, 4 Hg 3.83
Rb: 0.7500 0.7500 0.5000  4 Se 3.51, 4 Hg 3.83
Hg: 0.0000 0.0000 0.0000  2 Se 2.47
Hg: 0.5000 0.5000 0.0000  2 Se 2.47
Se: 0.1191 0.8809 0.2408  1 Hg 2.47
Se: 0.3809 0.6191 0.2408  1 Hg 2.47
Se: 0.6191 0.3809 0.7592  1 Hg 2.47
Se: 0.8809 0.1191 0.7592  1 Hg 2.47

- energy (Ry/atom) = -0.194
- volume (Å³/cell) = 488
- energy relative to the elements, uncorrected (eV/atom) = -0.824



Entry 5:
Material: CsRbHg2Se
Method: DFT, PBE
State: optimized geometry

Lattice parameters (Å, degrees): 5.1125 5.2875 15.5934 90.00 90.00 90.00
Closest atoms and distances in Å follow each position.
Positions (direct):
Cs: 0.0000 0.0000 0.0000  4 Se 3.82, 6 Hg 4.12-4.27, 2 Rb 4.21
Cs: 0.5000 0.5000 0.5000  4 Se 3.82, 6 Hg 4.12-4.27, 2 Rb 4.21
Rb: 0.0000 0.5000 0.7900  2 Se 3.40, 6 Hg 3.68-3.76
Rb: 0.5000 0.0000 0.2900  2 Se 3.40, 6 Hg 3.68-3.76
Hg: 0.0000 0.0000 0.6190  1 Se 2.88
Hg: 0.0000 0.5000 0.2805  2 Se 3.57, 2 Hg 3.59, 4 Rb 3.68
Hg: 0.5000 0.0000 0.7805  2 Se 3.57, 2 Hg 3.59, 4 Rb 3.68
Hg: 0.5000 0.5000 0.1190  1 Se 2.88
Se: 0.0000 0.0000 0.4342  1 Hg 2.88
Se: 0.5000 0.5000 0.9342  1 Hg 2.88

- energy (Ry/atom) = -0.131
- volume (Å³/cell) = 422
- energy relative to the elements, uncorrected (eV/atom) = -0.594



Entry 6:
Material: Cs6Rb2HgSe
Method: DFT, PBE
State: optimized geometry

Lattice parameters (Å, degrees): 10.6004 10.6004 10.5929 119.94 119.94 90.02
Closest atoms and distances in Å follow each position.
Positions (direct):
Cs: 0.0000 0.0000 0.0000  1 Se 3.50
Cs: 0.9997 0.9997 0.4677  1 Se 3.50
Cs: 0.0005 0.5333 0.0008  1 Se 3.50
Cs: 0.5333 0.0005 0.0008  1 Se 3.50
Cs: 0.5332 0.5332 0.0013  1 Se 3.50
Cs: 0.5337 0.5337 0.5337  1 Se 3.50
Rb: 0.0177 0.5153 0.5008  12 Cs 5.30-5.32
Rb: 0.5153 0.0177 0.5008  12 Cs 5.30-5.32
Hg: 0.2670 0.2670 0.0009  6 Cs 3.99-4.00
Se: 0.7666 0.7666 0.0008  6 Cs 3.50

- energy (Ry/atom) = -0.104
- volume (Å³/cell) = 843
- energy relative to the elements, uncorrected (eV/atom) = -0.332